No. 1
Material: HfUGe
Method: DFT, PBE-GGA
State: relaxed

a b c (Å): 4.7430 6.2038 8.4924
angles (deg): 90.00 90.00 90.00
Space group Immm (No. 71)
Asymmetric unit:
Hf: 0.0000 0.2404 0.0000
U: 0.0000 0.0000 0.3567
Ge: 0.0000 0.5000 0.3379

---

No. 2
Material: Tl3NiRh
Method: DFT, PBE-GGA
State: relaxed

a b c (Å): 4.9642 4.9642 4.9642
angles (deg): 90.00 90.00 90.00
Space group Pm-3m (No. 221)
Asymmetric unit:
Tl: 0.0000 0.0000 0.5000
Ni: 0.0000 0.0000 0.0000
Rh: 0.5000 0.5000 0.5000

The calculation puts the distance to the lowest polymorph of the same formula at 23.4 meV per atom.

---

No. 3
Material: B5C7
Method: DFT, PBE-GGA
State: relaxed

a b c (Å): 13.7016 2.4884 4.8477
angles (deg): 90.00 108.28 90.00
Space group Cm (No. 8)
Asymmetric unit:
B: 0.0000 0.0000 0.0000
B: 0.0307 0.5000 0.2679
B: 0.1516 0.0000 0.8634
B: 0.3154 0.0000 0.6727
B: 0.3580 0.5000 0.9452
C: 0.0196 0.0000 0.7102
C: 0.1588 0.5000 0.3766
C: 0.1905 0.0000 0.5675
C: 0.2010 0.5000 0.1110
C: 0.3208 0.5000 0.2216
C: 0.3616 0.0000 0.4092
C: 0.4829 0.0000 0.5269

The calculation puts the distance to the lowest polymorph of the same formula at 124.0 meV per atom.

---

No. 4
Material: HfTi3Hg
Method: DFT, PBE-GGA
State: relaxed

a b c (Å): 4.9614 4.9614 4.9614
angles (deg): 90.00 90.00 90.00
Space group Pm-3m (No. 221)
Asymmetric unit:
Hf: 0.0000 0.0000 0.0000
Ti: 0.0000 0.5000 0.5000
Hg: 0.5000 0.5000 0.5000

The calculation puts the distance to the lowest polymorph of the same formula at 21.5 meV per atom.

---

Number 1: E_form -72 meV per atom. Number 2: E_form 625 meV per atom. Number 3: E_form 382 meV per atom. Number 4: E_form 1152 meV per atom.